A plane-wave DFT calculation with PBEsol was carried out for InMoRu after structural relaxation.

Lattice parameters (Å, degrees): 6.051 6.051 6.051 90.00 90.00 90.00
Space group F-43m (No. 216)
Unique sites:
In (0.000, 0.000, 0.000) x4
Mo (0.000, 0.000, 0.500) x4
Ru (0.250, 0.250, 0.250) x4

Values from the calculation:
The formation energy from the elements comes out at 0.42 eV/atom.

A plane-wave DFT calculation with PBEsol was carried out for Nb3IrW after structural relaxation.

Lattice parameters (Å, degrees): 4.737 4.737 4.737 90.00 90.00 90.00
Space group Pm-3m (No. 221)
Unique sites:
Nb (0.000, 0.000, 0.500) x3
Ir (0.000, 0.000, 0.000) x1
W (0.500, 0.500, 0.500) x1

Values from the calculation:
The formation energy from the elements comes out at 1.53 eV/atom. The calculation puts the offset from the most stable computed form at 0.0 meV/atom.

A plane-wave DFT calculation with PBEsol was carried out for Ba2MgAl after structural relaxation.

Lattice parameters (Å, degrees): 8.325 8.325 8.325 90.00 90.00 90.00
Space group Fm-3m (No. 225)
Unique sites:
Ba (0.250, 0.250, 0.250) x8
Mg (0.000, 0.000, 0.000) x4
Al (0.000, 0.000, 0.500) x4

Values from the calculation:
The formation energy from the elements comes out at -0.05 eV/atom. The calculation puts the offset from the most stable computed form at 11.6 meV/atom.

A plane-wave DFT calculation with PBEsol was carried out for Ca3CrCu after structural relaxation.

Lattice parameters (Å, degrees): 5.409 5.409 5.409 90.00 90.00 90.00
Space group Pm-3m (No. 221)
Unique sites:
Ca (0.000, 0.000, 0.500) x3
Cr (0.500, 0.500, 0.500) x1
Cu (0.000, 0.000, 0.000) x1

Values from the calculation:
The formation energy from the elements comes out at 0.52 eV/atom.

A plane-wave DFT calculation with PBEsol was carried out for KSrBe2 after structural relaxation.

Lattice parameters (Å, degrees): 10.822 4.145 8.046 90.00 129.02 90.00
Space group C2/m (No. 12)
Unique sites:
K (0.000, 0.000, 0.000) x2
Sr (0.000, 0.500, 0.500) x2
Be (0.237, 0.000, 0.516) x4

Values from the calculation:
The formation energy from the elements comes out at 0.59 eV/atom. The calculation puts the offset from the most stable computed form at 75.2 meV/atom.

A plane-wave DFT calculation with PBEsol was carried out for LaReH2N after structural relaxation.

Lattice parameters (Å, degrees): 3.831 3.831 4.721 90.00 90.00 90.00
Space group P4/mmm (No. 123)
Unique sites:
La (0.000, 0.000, 0.000) x1
Re (0.500, 0.500, 0.000) x1
H (0.000, 0.500, 0.500) x2
N (0.000, 0.000, 0.500) x1

Values from the calculation:
The uncorrected energy comes out at -0.1859 hartree per atom.

A plane-wave DFT calculation with PBEsol was carried out for TaCr2Mo after structural relaxation.

Lattice parameters (Å, degrees): 3.049 4.347 8.398 90.00 90.00 90.00
Space group Immm (No. 71)
Unique sites:
Ta (0.000, 0.000, 0.000) x2
Cr (0.000, 0.500, 0.245) x4
Mo (0.000, 0.000, 0.500) x2

Values from the calculation:
The formation energy from the elements comes out at 0.07 eV/atom. The calculation puts the offset from the most stable computed form at 71.3 meV/atom.

A plane-wave DFT calculation with PBEsol was carried out for Tb4CdPt after structural relaxation.

Lattice parameters (Å, degrees): 13.501 13.501 13.501 90.00 90.00 90.00
Space group F-43m (No. 216)
Unique sites:
Tb (0.000, 0.000, 0.186) x24
Tb (0.059, 0.250, 0.750) x24
Tb (0.103, 0.103, 0.397) x16
Cd (0.169, 0.169, 0.169) x16
Pt (0.106, 0.106, 0.606) x16

Values from the calculation:
The formation energy from the elements comes out at -0.60 eV/atom.

A plane-wave DFT calculation with PBEsol was carried out for SbW2Cl after structural relaxation.

Lattice parameters (Å, degrees): 5.446 9.403 3.282 90.00 122.29 90.00
Space group C2/m (No. 12)
Unique sites:
Sb (0.000, 0.000, 0.000) x2
W (0.250, 0.250, 0.500) x4
Cl (0.000, 0.500, 0.000) x2

Values from the calculation:
For the energy relative to the elements, uncorrected, the calculation gives 96 kJ/mol of atoms.

A plane-wave DFT calculation with PBEsol was carried out for AlSiF2 after structural relaxation.

Lattice parameters (Å, degrees): 2.6881 2.6881 23.0649 90.00 90.00 120.00
Space group R-3m (No. 166, hexagonal axes)
Unique sites:
Al (0.0000, 0.0000, 0.0000) x3
Si (0.0000, 0.0000, 0.5000) x3
F (0.0000, 0.0000, 0.4231) x6

Values from the calculation:
For the energy relative to the elements, uncorrected, the calculation gives -144 kJ/mol of atoms.

A plane-wave DFT calculation with PBEsol was carried out for BaGa2Si2O8 after structural relaxation.

Lattice parameters (Å, degrees): 13.514 13.265 8.749 90.00 100.86 90.00
Space group C2/c (No. 15)
Unique sites:
Ba (0.186, 0.250, 0.214) x8
Ga (0.076, 0.124, 0.533) x8
Ga (0.130, 0.434, 0.886) x8
Si (0.077, 0.362, 0.520) x8
Si (0.144, 0.071, 0.904) x8
O (0.045, 0.367, 0.992) x8
O (0.061, 0.119, 0.997) x8
O (0.107, 0.249, 0.466) x8
O (0.116, 0.431, 0.388) x8
O (0.135, 0.051, 0.396) x8
O (0.138, 0.382, 0.696) x8
O (0.144, 0.120, 0.733) x8
O (0.250, 0.117, 0.004) x8

Values from the calculation:
For the energy relative to the elements, uncorrected, the calculation gives -247 kJ/mol of atoms.

A plane-wave DFT calculation with PBEsol was carried out for AlRe2Mo after structural relaxation.

Lattice parameters (Å, degrees): 3.111 4.260 8.735 90.00 90.00 90.00
Space group Imm2 (No. 44)
Unique sites:
Al (0.000, 0.000, 0.000) x2
Re (0.000, 0.000, 0.502) x2
Re (0.000, 0.500, 0.248) x2
Mo (0.000, 0.500, 0.756) x2

Values from the calculation:
The formation energy from the elements comes out at -0.13 eV/atom.

Computed values of spin magnetization (unit: μB per cell) for the preceding records, in sequence: 0.0; 0.0; 0.0; 4.9; 0.0; 2.4; 0.0; 0.0; 0.0; 0.0; 0.0; 0.0.